DFT (GGA-PBE) results for a geometry-optimized MgInPd3 structure.

Unit cell a=4.6311 b=4.6311 c=4.6311 alpha=90.00 beta=90.00 gamma=90.00
Last column: nearest neighbours and their distance in Å.
Sites, in units of the cell vectors:
Mg1 0.0000 0.0000 0.0000  6 Pd 2.32
In1 0.5000 0.5000 0.5000  12 Pd 3.27
Pd1 0.0000 0.0000 0.5000  2 Mg 2.32
Pd2 0.0000 0.5000 0.0000  2 Mg 2.32
Pd3 0.5000 0.0000 0.0000  2 Mg 2.32

Output
total magnetic moment: 0.0 μB/f.u.
E above lowest polymorph: 716.0 meV/atom
DOS(E_F): 0.586 states/eV per atom
formation enthalpy at 0 K: 89 kJ/mol of formula units



DFT (GGA-PBE) results for a geometry-optimized Mg8In2Pd structure.

Unit cell a=8.4266 b=8.4266 c=8.4266 alpha=145.73 beta=133.88 gamma=58.70
Last column: nearest neighbours and their distance in Å.
Sites, in units of the cell vectors:
Mg1 0.1284 0.3666 0.7617  1 Pd 2.61
Mg2 0.1811 0.1811 0.0000  8 Mg 3.09-3.15, 4 In 3.20-3.30
Mg3 0.2393 0.0000 0.2393  2 Pd 2.94, 7 Mg 3.09-3.17, 2 In 3.17
Mg4 0.3951 0.6334 0.7617  1 Pd 2.61
Mg5 0.6049 0.3666 0.2383  1 Pd 2.61
Mg6 0.7607 0.0000 0.7607  2 Pd 2.94, 7 Mg 3.09-3.17, 2 In 3.17
Mg7 0.8189 0.8189 0.0000  8 Mg 3.09-3.15, 4 In 3.20-3.30
Mg8 0.8716 0.6334 0.2383  1 Pd 2.61
In1 0.3184 0.8184 0.5000  12 Mg 3.02-3.30
In2 0.6816 0.1816 0.5000  12 Mg 3.02-3.30
Pd1 0.0000 0.5000 0.5000  4 Mg 2.61

Output
total magnetic moment: 0.0 μB/f.u.
E above lowest polymorph: 11.5 meV/atom
DOS(E_F): 0.298 states/eV per atom
formation enthalpy at 0 K: -202 kJ/mol of formula units